Entry 1:
A geometry-optimized BaPtF2 structure, computed with PBE.

Output
- Formation energy without anion corrections: -1689 meV/atom
- DOS(E_F): 2.8 states/eV/f.u.
- Theoretical density: 7.50 g cm⁻³
- SG: No. 122

Lattice parameters (Å, degrees): 8.5025 8.5025 8.5025 148.85 148.85 44.63
Positions (direct):
Ba 0.0000 0.0000 0.0000
Ba 0.7500 0.2500 0.5000
Pt 0.2500 0.7500 0.5000
Pt 0.5000 0.5000 0.0000
F 0.1846 0.6250 0.0596
F 0.3750 0.4346 0.5596
F 0.5654 0.1250 0.9404
F 0.8750 0.8154 0.4404

---

Entry 2:
A geometry-optimized CuRhSe2 structure, computed with PBE.

Output
- Formation energy without anion corrections: 44 meV/atom
- DOS(E_F): 1.7 states/eV/f.u.
- Theoretical density: 7.44 g cm⁻³
- SG: No. 10

Lattice parameters (Å, degrees): 4.5563 3.5459 4.6493 90.00 105.39 90.00
Positions (direct):
Cu 0.0000 0.0000 0.0000
Rh 0.5000 0.0000 0.5000
Se 0.2876 0.5000 0.7576
Se 0.7124 0.5000 0.2424